Computed, not measured: crystalline AlCoSe2 at its relaxed geometry at the PBE-GGA level of DFT.

Calculated values
E_form (uncorrected) ... 0.480 eV/atom
Calculated total energy ... -3.97 eV per atom
Total magnetization ... 3.37 μB per cell

a b c (Å): 6.424 6.424 6.424
angles (deg): 90.00 90.00 90.00
Space group F-43m (No. 216)
One atom of each set of equivalent atoms:
Al 0.000 0.000 0.000 (multiplicity 4)
Co 0.250 0.250 0.750 (multiplicity 4)
Se 0.000 0.000 0.500 (multiplicity 4)
Se 0.250 0.250 0.250 (multiplicity 4)